The following is a GGA-PBE calculation of a geometry-optimized TaBe2Ir structure, from the Alexandria database.

## Properties
size of the total moment	0.000	μB/f.u.
energy relative to the elements	-343	meV per atom
crystal system	tetragonal

Cell lengths 2.848, 2.848, 6.034 Å; angles 90.00, 90.00, 90.00 degrees
Space group P4/mmm (No. 123)
Inequivalent atoms, fractional coordinates:
Ta 0.000 0.000 0.000
Be 0.500 0.500 0.297
Ir 0.000 0.000 0.500

=====

The following is a GGA-PBE calculation of a geometry-optimized BaSnGe4 structure, from the Alexandria database.

## Properties
size of the total moment	0.000	μB/f.u.
energy relative to the elements	-80	meV per atom
crystal system	cubic

Cell lengths 8.367, 8.367, 8.367 Å; angles 90.00, 90.00, 90.00 degrees
Space group F-43m (No. 216)
Inequivalent atoms, fractional coordinates:
Ba 0.000 0.000 0.000
Sn 0.250 0.250 0.750
Ge 0.120 0.120 0.380

=====

The following is a GGA-PBE calculation of a geometry-optimized Th4CuIrSe2 structure, from the Alexandria database.

## Properties
size of the total moment	0.000	μB/f.u.
crystal system	monoclinic
total DFT energy (no corrections)	-57.72	eV/f.u.

Cell lengths 7.110, 4.164, 7.607 Å; angles 90.00, 108.14, 90.00 degrees
Space group P2/m (No. 10)
Inequivalent atoms, fractional coordinates:
Th 0.238 0.000 0.226
Th 0.247 0.500 0.768
Cu 0.500 0.000 0.000
Ir 0.000 0.500 0.000
Se 0.000 0.000 0.500
Se 0.500 0.500 0.500

=====

The following is a GGA-PBE calculation of a geometry-optimized Sr3Sm2InTe6 structure, from the Alexandria database.

## Properties
size of the total moment	0.000	μB/f.u.
crystal system	monoclinic
total DFT energy (no corrections)	-52.80	eV/f.u.

Cell lengths 20.062, 4.606, 9.380 Å; angles 90.00, 101.58, 90.00 degrees
Space group C2/m (No. 12)
Inequivalent atoms, fractional coordinates:
Sr 0.000 0.000 0.000
Sr 0.160 0.500 0.340
Sm 0.167 0.500 0.839
In 0.000 0.000 0.500
Te 0.009 0.500 0.757
Te 0.170 0.000 0.081
Te 0.170 0.000 0.605

=====

The following is a GGA-PBE calculation of a geometry-optimized PrFeGe2Os structure, from the Alexandria database.

## Properties
size of the total moment	1.622	μB/f.u.
energy relative to the elements	-404	meV per atom
crystal system	tetragonal

Cell lengths 4.128, 4.128, 10.627 Å; angles 90.00, 90.00, 90.00 degrees
Space group I-4m2 (No. 119)
Inequivalent atoms, fractional coordinates:
Pr 0.000 0.000 0.000
Fe 0.000 0.500 0.250
Ge 0.000 0.000 0.373
Os 0.000 0.500 0.750

=====

The following is a GGA-PBE calculation of a geometry-optimized Ni2TeBr structure, from the Alexandria database.

## Properties
size of the total moment	0.000	μB/f.u.
crystal system	monoclinic
total DFT energy (no corrections)	-16.73	eV/f.u.

Cell lengths 6.194, 3.952, 7.712 Å; angles 90.00, 112.62, 90.00 degrees
Space group Cm (No. 8)
Inequivalent atoms, fractional coordinates:
Ni 0.000 0.000 0.000
Ni 0.214 0.500 0.157
Te 0.434 0.000 0.318
Br 0.304 0.000 0.817

=====

Looking at density for the records above, in order, we have 13.27 6.20 10.41 5.65 9.76 6.19 g/cm³.
Looking at volume for the records above, in order, we have 12.235 24.405 26.754 35.380 18.109 21.779 A^3/atom.